[1]
The following is a DFT calculation (PBEsol) of a relaxed structure of Li2ICl.

a b c (Å): 4.9931 4.9931 4.9931
angles (deg): 60.00 60.00 60.00
Closest atoms and distances in Å follow each position.
Fractional positions:
Li 0.2500 0.2500 0.2500  4 Cl 3.06, 4 I 3.06
Cl 0.0000 0.0000 0.0000  8 Li 3.06
Li 0.7500 0.7500 0.7500  4 Cl 3.06, 4 I 3.06
I 0.5000 0.5000 0.5000  8 Li 3.06

Properties
space group	No. 225
raw total energy	-3.147	eV per atom
formation energy (no corrections)	-4.9	eV/f.u.
polymorph energy (0 for the lowest one)	0.2728	eV per atom
V	22.006	A^3/atom

[2]
The following is a DFT calculation (PBEsol) of a relaxed structure of LaIr2SeO.

a b c (Å): 4.3894 4.5691 4.5691
angles (deg): 90.00 90.00 90.00
Closest atoms and distances in Å follow each position.
Fractional positions:
Ir 0.0000 0.0000 0.5000  2 Se 2.28
Se 0.0000 0.0000 0.0000  2 O 2.19, 4 Ir 2.28
Ir 0.0000 0.5000 0.0000  2 Se 2.28
La 0.5000 0.5000 0.5000  8 Ir 3.17, 4 O 3.23
O 0.5000 0.0000 0.0000  2 Se 2.19

Properties
space group	No. 123
raw total energy	-6.888	eV per atom
formation energy (no corrections)	-0.3	eV/f.u.
V	18.327	A^3/atom